Entry 1:
Density functional theory data (PBE) for crystalline LaAlZnCu3 at its relaxed geometry.

The energy of formation is -0.08 eV/atom.

The space group is Cmcm (No. 63) and the conventional cell measures 6.199, 12.094 and 5.889 Å, with angles of 90.00, 90.00 and 90.00 degrees. The inequivalent atoms are La at (0.000, 0.208, 0.250), Al at (0.000, 0.459, 0.250), Zn at (0.000, 0.135, 0.750), Cu at (0.000, 0.342, 0.750) and Cu at (0.200, 0.000, 0.000).


Entry 2:
Density functional theory data (PBE) for crystalline InSiTc2 at its relaxed geometry.

The calculation puts the energy above the lowest structure with this stoichiometry at 542 meV/atom.

The space group is I-42d (No. 122) and the conventional cell measures 4.060, 4.060 and 18.021 Å, with angles of 90.00, 90.00 and 90.00 degrees. The inequivalent atoms are In at (0.000, 0.000, 0.000), Si at (0.000, 0.000, 0.500) and Tc at (0.154, 0.250, 0.625).


Entry 3:
Density functional theory data (PBE) for crystalline K3PbO at its relaxed geometry.

The calculation puts the energy above the lowest structure with this stoichiometry at 0 meV/atom.

The space group is Pm-3m (No. 221) and the conventional cell measures 5.487, 5.487 and 5.487 Å, with angles of 90.00, 90.00 and 90.00 degrees. The inequivalent atoms are K at (0.000, 0.000, 0.500), Pb at (0.500, 0.500, 0.500) and O at (0.000, 0.000, 0.000).


Entry 4:
Density functional theory data (PBE) for crystalline CaPm6Er6 at its relaxed geometry.

The energy of formation is 0.25 eV/atom.

The space group is P6/mmm (No. 191) and the conventional cell measures 6.7698, 6.7698 and 11.3780 Å, with angles of 90.00, 90.00 and 120.00 degrees. The inequivalent atoms are Ca at (0.0000, 0.0000, 0.0000), Pm at (0.0000, 0.0000, 0.3464), Pm at (0.3333, 0.6667, 0.0000), Pm at (0.3333, 0.6667, 0.5000) and Er at (0.0000, 0.5000, 0.2487).


Entry 5:
Density functional theory data (PBE) for crystalline NaDyCd5 at its relaxed geometry.

The energy of formation is -0.07 eV/atom.

The space group is Cmmm (No. 65) and the conventional cell measures 6.296, 8.951 and 6.521 Å, with angles of 90.00, 90.00 and 90.00 degrees. The inequivalent atoms are Na at (0.000, 0.000, 0.000), Dy at (0.000, 0.500, 0.500), Cd at (0.000, 0.500, 0.000) and Cd at (0.250, 0.250, 0.256).


Entry 6:
Density functional theory data (PBE) for crystalline Be3PdPt2 at its relaxed geometry.

The energy of formation is -0.71 eV/atom.

The space group is P4/mmm (No. 123) and the conventional cell measures 2.850, 2.850 and 8.479 Å, with angles of 90.00, 90.00 and 90.00 degrees. The inequivalent atoms are Be at (0.000, 0.000, 0.000), Be at (0.000, 0.000, 0.334), Pd at (0.500, 0.500, 0.500) and Pt at (0.500, 0.500, 0.168).


Entry 7:
Density functional theory data (PBE) for crystalline LiTa2Ru at its relaxed geometry.

The energy of formation is 0.23 eV/atom.

The space group is C2/m (No. 12) and the conventional cell measures 8.743, 2.880 and 5.145 Å, with angles of 90.00, 95.21 and 90.00 degrees. The inequivalent atoms are Li at (0.000, 0.000, 0.000), Ta at (0.247, 0.500, 0.246) and Ru at (0.000, 0.500, 0.500).


Entry 8:
Density functional theory data (PBE) for crystalline UBeAl at its relaxed geometry.

The energy of formation is 0.08 eV/atom.

The space group is Fmmm (No. 69) and the conventional cell measures 4.841, 7.917 and 9.953 Å, with angles of 90.00, 90.00 and 90.00 degrees. The inequivalent atoms are U at (0.000, 0.172, 0.000), Be at (0.250, 0.250, 0.250) and Al at (0.000, 0.000, 0.330).


Entry 9:
Density functional theory data (PBE) for crystalline Tl2ZnSe at its relaxed geometry.

The calculation puts the energy above the lowest structure with this stoichiometry at 89 meV/atom.

The space group is Cmm2 (No. 35) and the conventional cell measures 4.935, 5.407 and 7.746 Å, with angles of 90.00, 90.00 and 90.00 degrees. The inequivalent atoms are Tl at (0.000, 0.000, 0.000), Tl at (0.000, 0.500, 0.332), Zn at (0.000, 0.000, 0.583) and Se at (0.000, 0.500, 0.733).


Entry 10:
Density functional theory data (PBE) for crystalline TcNi12Pt3 at its relaxed geometry.

The energy of formation is -0.03 eV/atom.

The space group is P4/mmm (No. 123) and the conventional cell measures 3.637, 3.637 and 14.549 Å, with angles of 90.00, 90.00 and 90.00 degrees. The inequivalent atoms are Tc at (0.000, 0.000, 0.000), Ni at (0.000, 0.500, 0.120), Ni at (0.000, 0.500, 0.374), Ni at (0.500, 0.500, 0.000), Ni at (0.500, 0.500, 0.248), Ni at (0.500, 0.500, 0.500), Pt at (0.000, 0.000, 0.249) and Pt at (0.000, 0.000, 0.500).


Entry 11:
Density functional theory data (PBE) for crystalline Ti7NbGa5 at its relaxed geometry.

The energy of formation is -0.23 eV/atom.

The space group is Imm2 (No. 44) and the conventional cell measures 5.194, 9.218 and 9.035 Å, with angles of 90.00, 90.00 and 90.00 degrees. The inequivalent atoms are Ti at (0.000, 0.000, 0.000), Ti at (0.000, 0.000, 0.292), Ti at (0.000, 0.319, 0.126), Ti at (0.000, 0.350, 0.629), Ti at (0.000, 0.500, 0.360), Nb at (0.000, 0.000, 0.654), Ga at (0.000, 0.500, 0.890) and Ga at (0.247, 0.241, 0.876).


Entry 12:
Density functional theory data (PBE) for crystalline Hf3ThAs2 at its relaxed geometry.

The energy of formation is -0.64 eV/atom.

The space group is C2/m (No. 12) and the conventional cell measures 17.993, 3.746 and 9.424 Å, with angles of 90.00, 119.80 and 90.00 degrees. The inequivalent atoms are Hf at (0.047, 0.000, 0.175), Hf at (0.119, 0.500, 0.004), Hf at (0.180, 0.500, 0.409), Th at (0.124, 0.000, 0.655), As at (0.010, 0.500, 0.342) and As at (0.223, 0.000, 0.247).


Entry 13:
Density functional theory data (PBE) for crystalline TlAsIBr2 at its relaxed geometry.

The calculation puts the energy above the lowest structure with this stoichiometry at 614 meV/atom.

The space group is P4/mmm (No. 123) and the conventional cell measures 6.062, 6.062 and 5.505 Å, with angles of 90.00, 90.00 and 90.00 degrees. The inequivalent atoms are Tl at (0.000, 0.000, 0.000), As at (0.500, 0.500, 0.000), I at (0.500, 0.500, 0.500) and Br at (0.000, 0.500, 0.500).


Entry 14:
Density functional theory data (PBE) for crystalline Ba6In3Au at its relaxed geometry.

The energy of formation is -0.31 eV/atom.

The space group is P2_1/c (No. 14) and the conventional cell measures 8.554, 9.561 and 13.408 Å, with angles of 90.00, 120.08 and 90.00 degrees. The inequivalent atoms are Ba at (0.079, 0.059, 0.256), Ba at (0.223, 0.693, 0.073), Ba at (0.385, 0.160, 0.060), In at (0.310, 0.119, 0.754), In at (0.500, 0.000, 0.500) and Au at (0.000, 0.000, 0.000).


Entry 15:
Density functional theory data (PBE) for crystalline Nd5Te4Br at its relaxed geometry.

The calculation puts the energy above the lowest structure with this stoichiometry at 0 meV/atom.

The space group is R-3m (No. 166, hexagonal axes) and the conventional cell measures 4.5133, 4.5133 and 53.2090 Å, with angles of 90.00, 90.00 and 120.00 degrees. The inequivalent atoms are Nd at (0.0000, 0.0000, 0.0000), Nd at (0.0000, 0.0000, 0.1975), Nd at (0.0000, 0.0000, 0.4020), Te at (0.0000, 0.0000, 0.1029), Te at (0.0000, 0.0000, 0.2990) and Br at (0.0000, 0.0000, 0.5000).


Entry 16:
Density functional theory data (PBE) for crystalline LiYAu at its relaxed geometry.

The energy of formation is -0.52 eV/atom. The calculation puts the energy above the lowest structure with this stoichiometry at 75 meV/atom.

The space group is P-6m2 (No. 187) and the conventional cell measures 4.4842, 4.4842 and 3.6597 Å, with angles of 90.00, 90.00 and 120.00 degrees. The inequivalent atoms are Li at (0.0000, 0.0000, 0.0000), Y at (0.6667, 0.3333, 0.5000) and Au at (0.3333, 0.6667, 0.0000).


Entry 17:
Density functional theory data (PBE) for crystalline Li3Tl2Au at its relaxed geometry.

The energy of formation is -0.33 eV/atom. The calculation puts the energy above the lowest structure with this stoichiometry at 11 meV/atom.

The space group is Cmmm (No. 65) and the conventional cell measures 4.753, 14.407 and 6.633 Å, with angles of 90.00, 90.00 and 90.00 degrees. The inequivalent atoms are Li at (0.000, 0.000, 0.237), Li at (0.000, 0.323, 0.217), Tl at (0.000, 0.165, 0.500), Tl at (0.000, 0.500, 0.000), Tl at (0.000, 0.500, 0.500) and Au at (0.000, 0.158, 0.000).


Entry 18:
Density functional theory data (PBE) for crystalline AcB3OsRh at its relaxed geometry.

The energy of formation is -0.24 eV/atom.

The space group is Cmcm (No. 63) and the conventional cell measures 6.159, 10.612 and 5.572 Å, with angles of 90.00, 90.00 and 90.00 degrees. The inequivalent atoms are Ac at (0.000, 0.244, 0.250), B at (0.000, 0.256, 0.750), B at (0.249, 0.000, 0.000), Os at (0.000, 0.440, 0.750) and Rh at (0.000, 0.068, 0.750).


Entry 19:
Density functional theory data (PBE) for crystalline Na8InBi2 at its relaxed geometry.

The energy of formation is -0.25 eV/atom.

The space group is C2/m (No. 12) and the conventional cell measures 16.575, 5.313 and 9.198 Å, with angles of 90.00, 123.68 and 90.00 degrees. The inequivalent atoms are Na at (0.001, 0.000, 0.315), Na at (0.146, 0.000, 0.145), Na at (0.157, 0.500, 0.866), Na at (0.158, 0.500, 0.450), In at (0.000, 0.500, 0.000) and Bi at (0.206, 0.000, 0.707).


Entry 20:
Density functional theory data (PBE) for crystalline ScBPdRu2 at its relaxed geometry.

The energy of formation is -0.42 eV/atom.

The space group is P4/mmm (No. 123) and the conventional cell measures 4.159, 4.159 and 4.121 Å, with angles of 90.00, 90.00 and 90.00 degrees. The inequivalent atoms are Sc at (0.000, 0.000, 0.000), B at (0.500, 0.500, 0.500), Pd at (0.500, 0.500, 0.000) and Ru at (0.000, 0.500, 0.500).


Number 1: total DFT energy (no corrections) -3.79 eV/atom. Number 2: total DFT energy (no corrections) -6.77 eV/atom. Number 3: total DFT energy (no corrections) -2.81 eV/atom. Number 4: total DFT energy (no corrections) -4.20 eV/atom. Number 5: total DFT energy (no corrections) -1.57 eV/atom. Number 6: total DFT energy (no corrections) -5.45 eV/atom. Number 7: total DFT energy (no corrections) -8.49 eV/atom. Number 8: total DFT energy (no corrections) -6.17 eV/atom. Number 9: total DFT energy (no corrections) -2.47 eV/atom. Number 10: total DFT energy (no corrections) -6.15 eV/atom. Number 11: total DFT energy (no corrections) -6.42 eV/atom. Number 12: total DFT energy (no corrections) -8.40 eV/atom. Number 13: total DFT energy (no corrections) -2.14 eV/atom. Number 14: total DFT energy (no corrections) -2.61 eV/atom. Number 15: total DFT energy (no corrections) -5.14 eV/atom. Number 16: total DFT energy (no corrections) -4.41 eV/atom. Number 17: total DFT energy (no corrections) -2.63 eV/atom. Number 18: total DFT energy (no corrections) -7.36 eV/atom. Number 19: total DFT energy (no corrections) -2.16 eV/atom. Number 20: total DFT energy (no corrections) -7.77 eV/atom.